An optimized crystal structure of SrMgB3. Source: Alexandria, functional PBE.

Computed properties:
uncorrected energy: -3.162 eV/atom
energy of formation from the pure elements: 1500 meV per atom
N(E_F): 2.904 states/eV per cell
excess energy over the best structure of this formula in the dataset: 0 meV per atom

```
data_SrMgB3
_chemical_formula_sum 'Sr1 Mg1 B3'
_cell_length_a 4.4547
_cell_length_b 4.4547
_cell_length_c 4.4547
_cell_angle_alpha 90.00
_cell_angle_beta 90.00
_cell_angle_gamma 90.00
_symmetry_space_group_name_H-M 'P m -3 m'
_symmetry_Int_Tables_number 221
_symmetry_space_group_name_Hall '-P 4 2 3'
loop_
_atom_site_label
_atom_site_fract_x
_atom_site_fract_y
_atom_site_fract_z
Sr1 0.0000 0.0000 0.0000
Mg1 0.5000 0.5000 0.5000
B1 0.0000 0.5000 0.5000
```

---

An optimized crystal structure of Rb3Na2Pb8. Source: Alexandria, functional PBE.

Computed properties:
uncorrected energy: -2.607 eV/atom
energy of formation from the pure elements: 102 meV per atom
N(E_F): 33.703 states/eV per cell

```
data_Rb3Na2Pb8
_chemical_formula_sum 'Rb9 Na6 Pb24'
_cell_length_a 7.3507
_cell_length_b 7.3507
_cell_length_c 39.5351
_cell_angle_alpha 90.00
_cell_angle_beta 90.00
_cell_angle_gamma 120.00
_symmetry_space_group_name_H-M 'R -3 m'
_symmetry_Int_Tables_number 166
_symmetry_space_group_name_Hall '-R 3 2"'
loop_
_atom_site_label
_atom_site_fract_x
_atom_site_fract_y
_atom_site_fract_z
Rb1 0.0000 0.0000 0.0000
Rb2 0.0000 0.0000 0.2006
Na1 0.0000 0.0000 0.4656
Pb1 0.0000 0.0000 0.3714
Pb2 0.0513 0.5257 0.7545
```

---

An optimized crystal structure of Ba2NaPd. Source: Alexandria, functional PBE.

Computed properties:
uncorrected energy: -2.877 eV/atom
energy of formation from the pure elements: -288 meV per atom
N(E_F): 5.642 states/eV per cell
excess energy over the best structure of this formula in the dataset: 2 meV per atom

```
data_Ba2NaPd
_chemical_formula_sum 'Ba4 Na2 Pd2'
_cell_length_a 7.8963
_cell_length_b 4.5691
_cell_length_c 10.6429
_cell_angle_alpha 90.00
_cell_angle_beta 104.54
_cell_angle_gamma 90.00
_symmetry_space_group_name_H-M 'P 1 21/m 1'
_symmetry_Int_Tables_number 11
_symmetry_space_group_name_Hall '-P 2yb'
loop_
_atom_site_label
_atom_site_fract_x
_atom_site_fract_y
_atom_site_fract_z
Ba1 0.0245 0.2500 0.3261
Ba2 0.4730 0.2500 0.6706
Na1 0.2599 0.2500 0.0015
Pd1 0.2479 0.7500 0.4987
```

---

An optimized crystal structure of CdReCl3. Source: Alexandria, functional PBE.

Computed properties:
uncorrected energy: -3.270 eV/atom
N(E_F): 0.000 states/eV per cell
excess energy over the best structure of this formula in the dataset: 379 meV per atom
uncorrected formation energy: 511 meV/atom

```
data_CdReCl3
_chemical_formula_sum 'Cd1 Re1 Cl3'
_cell_length_a 5.2140
_cell_length_b 5.2140
_cell_length_c 5.2140
_cell_angle_alpha 90.00
_cell_angle_beta 90.00
_cell_angle_gamma 90.00
_symmetry_space_group_name_H-M 'P m -3 m'
_symmetry_Int_Tables_number 221
_symmetry_space_group_name_Hall '-P 4 2 3'
loop_
_atom_site_label
_atom_site_fract_x
_atom_site_fract_y
_atom_site_fract_z
Cd1 0.0000 0.0000 0.0000
Re1 0.5000 0.5000 0.5000
Cl1 0.0000 0.0000 0.5000
```

---

An optimized crystal structure of SrBeZn2O. Source: Alexandria, functional PBE.

Computed properties:
uncorrected energy: -2.090 eV/atom
N(E_F): 1.377 states/eV per cell
uncorrected formation energy: 493 meV/atom

```
data_SrBeZn2O
_chemical_formula_sum 'Sr1 Be1 Zn2 O1'
_cell_length_a 6.5090
_cell_length_b 6.5090
_cell_length_c 4.4431
_cell_angle_alpha 90.00
_cell_angle_beta 90.00
_cell_angle_gamma 90.00
_symmetry_space_group_name_H-M 'P 4/m m m'
_symmetry_Int_Tables_number 123
_symmetry_space_group_name_Hall '-P 4 2'
loop_
_atom_site_label
_atom_site_fract_x
_atom_site_fract_y
_atom_site_fract_z
Sr1 0.0000 0.0000 0.0000
Be1 0.5000 0.5000 0.5000
Zn1 0.0000 0.5000 0.0000
O1 0.0000 0.0000 0.5000
```

---

An optimized crystal structure of Mn3BeRu. Source: Alexandria, functional PBE.

Computed properties:
uncorrected energy: -6.616 eV/atom
energy of formation from the pure elements: 1486 meV per atom
N(E_F): 6.582 states/eV per cell
excess energy over the best structure of this formula in the dataset: 812 meV per atom

```
data_Mn3BeRu
_chemical_formula_sum 'Mn3 Be1 Ru1'
_cell_length_a 4.6643
_cell_length_b 4.6643
_cell_length_c 4.6643
_cell_angle_alpha 90.00
_cell_angle_beta 90.00
_cell_angle_gamma 90.00
_symmetry_space_group_name_H-M 'P m -3 m'
_symmetry_Int_Tables_number 221
_symmetry_space_group_name_Hall '-P 4 2 3'
loop_
_atom_site_label
_atom_site_fract_x
_atom_site_fract_y
_atom_site_fract_z
Mn1 0.0000 0.0000 0.5000
Be1 0.5000 0.5000 0.5000
Ru1 0.0000 0.0000 0.0000
```

---

An optimized crystal structure of LiLa3Ag3. Source: Alexandria, functional PBE.

Computed properties:
uncorrected energy: -3.795 eV/atom
energy of formation from the pure elements: -188 meV per atom
N(E_F): 14.460 states/eV per cell

```
data_LiLa3Ag3
_chemical_formula_sum 'Li2 La6 Ag6'
_cell_length_a 3.7939
_cell_length_b 4.8195
_cell_length_c 20.5576
_cell_angle_alpha 90.00
_cell_angle_beta 90.00
_cell_angle_gamma 90.00
_symmetry_space_group_name_H-M 'I m m 2'
_symmetry_Int_Tables_number 44
_symmetry_space_group_name_Hall 'I 2 -2'
loop_
_atom_site_label
_atom_site_fract_x
_atom_site_fract_y
_atom_site_fract_z
Li1 0.0000 0.0000 0.0000
La1 0.0000 0.0000 0.4283
La2 0.0000 0.5000 0.2435
La3 0.0000 0.5000 0.6278
Ag1 0.0000 0.0000 0.8727
Ag2 0.0000 0.5000 0.0676
Ag3 0.0000 0.5000 0.7940
```

---

An optimized crystal structure of LiScRu2. Source: Alexandria, functional PBE.

Computed properties:
uncorrected energy: -6.617 eV/atom
energy of formation from the pure elements: 83 meV per atom
N(E_F): 8.069 states/eV per cell

```
data_LiScRu2
_chemical_formula_sum 'Li2 Sc2 Ru4'
_cell_length_a 5.1636
_cell_length_b 8.0011
_cell_length_c 2.9561
_cell_angle_alpha 90.00
_cell_angle_beta 90.00
_cell_angle_gamma 90.00
_symmetry_space_group_name_H-M 'C m m m'
_symmetry_Int_Tables_number 65
_symmetry_space_group_name_Hall '-C 2 2'
loop_
_atom_site_label
_atom_site_fract_x
_atom_site_fract_y
_atom_site_fract_z
Li1 0.0000 0.0000 0.0000
Sc1 0.0000 0.5000 0.0000
Ru1 0.2500 0.2500 0.5000
```